# 1
This record from the Alexandria database describes crystalline InPSe2 at its relaxed geometry. The functional is GGA-PBE.

Cell lengths 3.9144, 3.9144, 24.3887 Å; angles 90.00, 90.00, 120.00 degrees
Last column: nearest neighbours and their distance in Å.
Space group R-3m (No. 166, hexagonal axes)
Inequivalent atoms, fractional coordinates:
In  0.0000  0.0000  0.0000 x3  6 Se 2.79
P  0.0000  0.0000  0.5000 x3  2 Se 2.43
Se  0.0000  0.0000  0.4004 x6  1 P 2.43

Output
The value obtained for the energy relative to the lowest polymorph listed for this composition is 0.215 eV per atom. The calculation puts the uncorrected formation energy at 0.134 eV/atom.



# 2
This record from the Alexandria database describes crystalline PmRuClO4 at its relaxed geometry. The functional is GGA-PBE.

Cell lengths 10.4745, 7.3748, 7.0106 Å; angles 90.00, 105.24, 90.00 degrees
Last column: nearest neighbours and their distance in Å.
Space group C2/m (No. 12)
Inequivalent atoms, fractional coordinates:
Pm  0.2201  0.0000  0.1077 x4  6 O 2.40-2.51
Ru  0.1369  0.5000  0.2770 x4  4 O 1.76-1.84
Cl  0.0113  0.0000  0.7655 x4  2 Pm 2.79, 1 O 3.09
O  0.0365  0.5000  0.7700 x4  1 Ru 1.76
O  0.1959  0.3217  0.1386 x8  1 Ru 1.84
O  0.2172  0.5000  0.5307 x4  1 Ru 1.76

Output
The calculation puts the uncorrected formation energy at -1.694 eV/atom.



| no. | total magnetic moment (μB per cell) |
| --- | --- |
| 1 | 0.00 |
| 2 | 8.05 |